(i)
Crystalline NiC5 at its relaxed geometry, computed with PBE-GGA.

Geometry as POSCAR:
```
NiC5
1.0
2.4122 0.0000 0.0000
0.0000 2.4122 0.0000
0.0000 0.0000 7.7631
C Ni
5 1
Direct
0.0000 0.0000 0.3222 C
0.5000 0.5000 0.7511 C
0.0000 0.0000 0.5000 C
0.0000 0.0000 0.6778 C
0.5000 0.5000 0.2489 C
0.5000 0.5000 0.0000 Ni
```

Output
DOS(E_F)	4.69	states/eV per cell
space group	No. 123

(ii)
Crystalline NiC5 at its relaxed geometry, computed with PBE-GGA.

Geometry as POSCAR:
```
NiC5
1.0
-3.5168 -1.4341 0.4380
3.0417 -2.0136 1.1443
-0.2425 1.7118 3.6571
C Ni
5 1
Direct
0.7818 0.0000 0.0000 C
0.6667 0.3333 0.5000 C
0.0000 0.7818 0.0000 C
0.2182 0.2182 0.0000 C
0.3333 0.6667 0.5000 C
0.0000 0.0000 0.5000 Ni
```

Output
DOS(E_F)	4.60	states/eV per cell
space group	No. 189

Going by the computed energies, the most stable comes first: (i), (ii).